[1]
Computed, not measured: Tl2CdTe after structural relaxation at the PBE level of DFT.

Output
ρ: 8.6 g/cm³
E_form (uncorrected): -0.034 eV/atom
SG: F-43m (216)
Total DFT energy (no corrections): -2.23 eV per atom
Polymorph energy (0 for the lowest one): 0.090 eV per atom

The structure in POSCAR format:
```
Tl2CdTe
1.0
0.000 3.964 3.964
3.964 0.000 3.964
3.964 3.964 0.000
Tl Cd Te
2 1 1
Direct
0.000 0.000 0.000
0.250 0.250 0.250
0.500 0.500 0.500
0.750 0.750 0.750
```

[2]
Computed, not measured: Tl2CdTe after structural relaxation at the PBE level of DFT.

Output
ρ: 8.8 g/cm³
E_form (uncorrected): -0.099 eV/atom
SG: P4mm (99)
Total DFT energy (no corrections): -2.30 eV per atom
Polymorph energy (0 for the lowest one): 0.025 eV per atom

The structure in POSCAR format:
```
Tl2CdTe
1.0
4.013 0.000 0.000
0.000 4.013 0.000
0.000 0.000 7.633
Tl Cd Te
2 1 1
Direct
0.000 0.000 0.000
0.500 0.500 0.312
0.000 0.000 0.545
0.500 0.500 0.748
```

[3]
Computed, not measured: TlCd4Te after structural relaxation at the PBE level of DFT.

Output
ρ: 8.1 g/cm³
E_form (uncorrected): 0.076 eV/atom
SG: F-43m (216)
Total DFT energy (no corrections): -1.45 eV per atom

The structure in POSCAR format:
```
TlCd4Te
1.0
0.000 4.311 4.311
4.311 0.000 4.311
4.311 4.311 0.000
Tl Cd Te
1 4 1
Direct
0.000 0.000 0.000
0.124 0.625 0.625
0.625 0.124 0.625
0.625 0.625 0.124
0.625 0.625 0.625
0.250 0.250 0.250
```

[4]
Computed, not measured: TlCdTe3 after structural relaxation at the PBE level of DFT.

Output
ρ: 6.0 g/cm³
E_form (uncorrected): 0.580 eV/atom
SG: Pm-3m (221)
Total DFT energy (no corrections): -1.96 eV per atom
Polymorph energy (0 for the lowest one): 0.384 eV per atom

The structure in POSCAR format:
```
TlCdTe3
1.0
5.794 0.000 0.000
0.000 5.794 0.000
0.000 0.000 5.794
Tl Cd Te
1 1 3
Direct
0.000 0.000 0.000
0.500 0.500 0.500
0.000 0.000 0.500
0.000 0.500 0.000
0.500 0.000 0.000
```

[5]
Computed, not measured: TlCd2Te after structural relaxation at the PBE level of DFT.

Output
ρ: 8.1 g/cm³
E_form (uncorrected): 0.005 eV/atom
SG: C2/m (12)
Total DFT energy (no corrections): -1.83 eV per atom
Polymorph energy (0 for the lowest one): 0.072 eV per atom

The structure in POSCAR format:
```
TlCd2Te
1.0
3.372 -5.930 0.000
3.372 5.930 0.000
-1.393 0.000 2.852
Tl Cd Te
1 2 1
Direct
0.000 0.000 0.000
0.000 0.500 0.000
0.500 0.000 0.000
0.500 0.500 0.000
```

[6]
Computed, not measured: Tl2CdTe after structural relaxation at the PBE level of DFT.

Output
ρ: 8.9 g/cm³
E_form (uncorrected): -0.059 eV/atom
SG: Pm (6)
Total DFT energy (no corrections): -2.26 eV per atom
Polymorph energy (0 for the lowest one): 0.065 eV per atom

The structure in POSCAR format:
```
Tl2CdTe
1.0
3.344 0.000 0.000
0.000 5.169 0.000
-1.607 0.000 6.977
Tl Cd Te
2 1 1
Direct
0.000 0.000 0.000
0.359 0.500 0.714
0.600 0.500 0.202
0.741 0.000 0.469
```

[7]
Computed, not measured: TlCd2Te after structural relaxation at the PBE level of DFT.

Output
ρ: 8.1 g/cm³
E_form (uncorrected): -0.017 eV/atom
SG: P4mm (99)
Total DFT energy (no corrections): -1.85 eV per atom
Polymorph energy (0 for the lowest one): 0.049 eV per atom

The structure in POSCAR format:
```
TlCd2Te
1.0
3.888 0.000 0.000
0.000 3.888 0.000
0.000 0.000 7.578
Tl Cd Te
1 2 1
Direct
0.000 0.000 0.000
0.000 0.000 0.499
0.500 0.500 0.279
0.500 0.500 0.700
```

[8]
Computed, not measured: TlCdTe2 after structural relaxation at the PBE level of DFT.

Output
ρ: 8.0 g/cm³
E_form (uncorrected): -0.032 eV/atom
SG: I4/mmm (139)
Total DFT energy (no corrections): -2.42 eV per atom

The structure in POSCAR format:
```
TlCdTe2
1.0
-2.910 2.910 3.496
2.910 -2.910 3.496
2.910 2.910 -3.496
Tl Cd Te
1 1 2
Direct
0.000 0.000 0.000
0.500 0.500 0.000
0.250 0.750 0.500
0.750 0.250 0.500
```

[9]
Computed, not measured: TlCdTe2 after structural relaxation at the PBE level of DFT.

Output
ρ: 7.7 g/cm³
E_form (uncorrected): 0.009 eV/atom
SG: Immm (71)
Total DFT energy (no corrections): -2.38 eV per atom

The structure in POSCAR format:
```
TlCdTe2
1.0
-2.074 2.408 6.149
2.074 -2.408 6.149
2.074 2.408 -6.149
Tl Cd Te
1 1 2
Direct
0.000 0.000 0.000
0.500 0.500 0.000
0.254 0.754 0.500
0.746 0.246 0.500
```

[10]
Computed, not measured: Tl2Cd2Te after structural relaxation at the PBE level of DFT.

Output
ρ: 7.9 g/cm³
E_form (uncorrected): -0.051 eV/atom
SG: I4/mmm (139)
Total DFT energy (no corrections): -1.99 eV per atom
Polymorph energy (0 for the lowest one): 0.015 eV per atom

The structure in POSCAR format:
```
Tl2Cd2Te
1.0
-2.075 2.075 9.276
2.075 -2.075 9.276
2.075 2.075 -9.276
Tl Cd Te
2 2 1
Direct
0.093 0.093 0.000
0.907 0.907 0.000
0.250 0.750 0.500
0.750 0.250 0.500
0.500 0.500 0.000
```

[11]
Computed, not measured: TlCdTe2 after structural relaxation at the PBE level of DFT.

Output
ρ: 7.5 g/cm³
E_form (uncorrected): -0.208 eV/atom
SG: R3m (160)
Total DFT energy (no corrections): -2.60 eV per atom

The structure in POSCAR format:
```
TlCdTe2
1.0
2.158 1.246 7.843
-2.158 1.246 7.843
0.000 -2.492 7.843
Tl Cd Te
1 1 2
Direct
0.000 0.000 0.000
0.168 0.168 0.168
0.573 0.573 0.573
0.760 0.760 0.760
```

[12]
Computed, not measured: TlCd2Te after structural relaxation at the PBE level of DFT.

Output
ρ: 7.9 g/cm³
E_form (uncorrected): -0.067 eV/atom
SG: I-42d (122)
Total DFT energy (no corrections): -1.90 eV per atom
Polymorph energy (0 for the lowest one): 0.000 eV per atom

The structure in POSCAR format:
```
TlCd2Te
1.0
-4.166 4.166 3.387
4.166 -4.166 3.387
4.166 4.166 -3.387
Tl Cd Te
2 4 2
Direct
0.000 0.000 0.000
0.750 0.250 0.500
0.140 0.625 0.015
0.375 0.390 0.515
0.610 0.125 0.985
0.875 0.860 0.485
0.250 0.750 0.500
0.500 0.500 0.000
```